[1]
Density functional theory data (PBE) for a relaxed TeS2N crystal.

Output
V = 19.0 Å³/atom
formation energy from raw total energies = 4.22 eV/f.u.
space-group type = I-42d, No. 122

Cell and atoms, written as extended XYZ:
```
8
Lattice="5.366 0.000 0.000 0.000 5.366 0.000 2.683 2.683 5.284" Properties=species:S:1:pos:R:3 pbc="T T T"
S 2.953 1.342 1.321
S 2.413 4.025 1.321
S 4.025 5.096 3.963
S 6.708 5.636 3.963
Te 0.000 0.000 0.000
Te 5.366 2.683 2.642
N 2.683 2.683 0.000
N 2.683 5.366 2.642
```

[2]
Density functional theory data (PBE) for a relaxed Te2SN crystal.

Output
V = 21.5 Å³/atom
formation energy from raw total energies = 3.19 eV/f.u.
space-group type = I-42d, No. 122

Cell and atoms, written as extended XYZ:
```
8
Lattice="-2.081 -4.335 4.695 5.595 -3.622 -0.865 3.507 -1.916 4.595" Properties=species:S:1:pos:R:3 pbc="T T T"
S 0.000 0.000 0.000
S 1.591 -5.115 5.603
Te 0.400 -3.382 3.695
Te 3.989 -3.544 1.476
Te 4.282 -4.638 4.831
Te 5.370 -8.183 6.850
N 1.757 -3.979 1.915
N 5.429 -4.758 2.823
```

[3]
Density functional theory data (PBE) for a relaxed TeSN2 crystal.

Output
V = 13.6 Å³/atom
formation energy from raw total energies = 5.97 eV/f.u.
space-group type = Fd-3m, No. 227

Cell and atoms, written as extended XYZ:
```
8
Lattice="5.359 0.000 0.000 0.000 5.359 0.000 2.680 2.680 3.790" Properties=species:S:1:pos:R:3 pbc="T T T"
S 2.680 2.680 0.000
S 2.680 5.359 1.895
Te 0.000 0.000 0.000
Te 5.359 2.680 1.895
N 2.678 1.340 0.948
N 2.682 4.020 0.948
N 4.020 5.361 2.843
N 6.699 5.358 2.843
```

[4]
Density functional theory data (PBE) for a relaxed TeSN2 crystal.

Output
V = 15.6 Å³/atom
formation energy from raw total energies = 4.89 eV/f.u.
space-group type = R-3m, No. 166

Cell and atoms, written as extended XYZ:
```
4
Lattice="1.975 0.000 6.173 -0.988 1.711 6.173 -0.988 -1.711 6.173" Properties=species:S:1:pos:R:3 pbc="T T T"
S 0.000 0.000 0.000
Te 0.000 0.000 9.259
N 0.000 0.000 16.691
N 0.000 0.000 1.827
```

[5]
Density functional theory data (PBE) for a relaxed TeS2N crystal.

Output
V = 22.1 Å³/atom
formation energy from raw total energies = 2.18 eV/f.u.
space-group type = R-3m, No. 166

Cell and atoms, written as extended XYZ:
```
4
Lattice="1.982 0.000 8.642 -0.991 1.717 8.642 -0.991 -1.717 8.642" Properties=species:S:1:pos:R:3 pbc="T T T"
S 0.000 0.000 24.392
S 0.000 0.000 1.533
Te 0.000 0.000 12.963
N 0.000 0.000 0.000
```

[6]
Density functional theory data (PBE) for a relaxed TeS3N crystal.

Output
V = 26.7 Å³/atom
formation energy from raw total energies = 3.00 eV/f.u.
space-group type = C2/m, No. 12

Cell and atoms, written as extended XYZ:
```
10
Lattice="1.702 8.791 1.227 -1.702 8.791 1.227 0.000 1.219 9.075" Properties=species:S:1:pos:R:3 pbc="T T T"
Te 0.000 13.059 3.788
Te 0.000 5.742 7.741
S 0.000 17.742 6.020
S 0.000 11.302 2.358
S 0.000 7.498 9.171
S 0.000 1.058 5.509
S 0.000 15.738 6.346
S 0.000 3.063 5.183
N 0.000 12.250 5.729
N 0.000 6.550 5.800
```

[7]
Density functional theory data (PBE) for a relaxed Te2SN crystal.

Output
V = 21.2 Å³/atom
formation energy from raw total energies = 4.03 eV/f.u.
space-group type = R-3m, No. 166

Cell and atoms, written as extended XYZ:
```
4
Lattice="2.004 0.000 8.149 -1.002 1.735 8.149 -1.002 -1.735 8.149" Properties=species:S:1:pos:R:3 pbc="T T T"
S 0.000 0.000 0.000
Te 0.000 0.000 21.969
Te 0.000 0.000 2.478
N 0.000 0.000 12.223
```

[8]
Density functional theory data (PBE) for a relaxed Te2SN crystal.

Output
V = 18.3 Å³/atom
formation energy from raw total energies = 5.28 eV/f.u.
space-group type = Fm-3m, No. 225

Cell and atoms, written as extended XYZ:
```
4
Lattice="0.000 3.318 3.318 3.318 0.000 3.318 3.318 3.318 0.000" Properties=species:S:1:pos:R:3 pbc="T T T"
S 3.318 3.318 3.318
Te 1.659 1.659 1.659
Te 4.976 4.976 4.976
N 0.000 0.000 0.000
```

[9]
Density functional theory data (PBE) for a relaxed TeSN3 crystal.

Output
V = 10.0 Å³/atom
formation energy from raw total energies = 9.02 eV/f.u.
space-group type = Pm-3m, No. 221

Cell and atoms, written as extended XYZ:
```
5
Lattice="3.679 0.000 0.000 0.000 3.679 0.000 0.000 0.000 3.679" Properties=species:S:1:pos:R:3 pbc="T T T"
S 0.000 0.000 0.000
Te 1.839 1.839 1.839
N 0.000 1.839 0.000
N 0.000 0.000 1.839
N 1.839 0.000 0.000
```

[10]
Density functional theory data (PBE) for a relaxed TiTeS2N crystal.

Output
V = 18.2 Å³/atom
formation energy from raw total energies = -0.04 eV/f.u.
space-group type = P4/mmm, No. 123

Cell and atoms, written as extended XYZ:
```
5
Lattice="-1.958 1.693 4.185 -3.505 -3.444 -0.246 2.174 -2.353 1.969" Properties=species:S:1:pos:R:3 pbc="T T T"
N 1.087 -1.177 0.985
S -1.753 -1.722 -0.123
S -0.979 0.847 2.092
Te -1.645 -2.052 2.954
Ti 0.000 0.000 0.000
```

[11]
Density functional theory data (PBE) for a relaxed TiTeS2N crystal.

Output
V = 20.3 Å³/atom
formation energy from raw total energies = 3.98 eV/f.u.
space-group type = P4/mmm, No. 123

Cell and atoms, written as extended XYZ:
```
5
Lattice="-2.757 0.887 4.201 0.128 -4.973 1.135 3.276 0.549 2.035" Properties=species:S:1:pos:R:3 pbc="T T T"
N 1.638 0.274 1.017
S 0.064 -2.487 0.567
S -1.379 0.444 2.100
Te 0.000 0.000 0.000
Ti 0.323 -1.768 3.685
```

[12]
Density functional theory data (PBE) for a relaxed TlTe2SN crystal.

Output
V = 26.4 Å³/atom
formation energy from raw total energies = 2.97 eV/f.u.
space-group type = P4/mmm, No. 123

Cell and atoms, written as extended XYZ:
```
5
Lattice="-6.324 -0.067 -0.657 -0.656 -0.073 6.324 -0.038 3.263 0.034" Properties=species:S:1:pos:R:3 pbc="T T T"
Tl -3.509 1.562 2.850
Te -0.328 -0.037 3.162
Te -3.162 -0.033 -0.328
S 0.000 0.000 0.000
N -0.019 1.632 0.017
```

[13]
Density functional theory data (PBE) for a relaxed TlTe2SN crystal.

Output
V = 28.9 Å³/atom
formation energy from raw total energies = 7.44 eV/f.u.
space-group type = P4/mmm, No. 123

Cell and atoms, written as extended XYZ:
```
5
Lattice="5.894 0.000 0.000 0.000 5.894 0.000 0.000 0.000 4.160" Properties=species:S:1:pos:R:3 pbc="T T T"
Tl 0.000 0.000 0.000
Te 0.000 2.947 0.000
Te 2.947 0.000 0.000
S 2.947 2.947 2.080
N 0.000 0.000 2.080
```

[14]
Density functional theory data (PBE) for a relaxed VTeSN2 crystal.

Output
V = 14.7 Å³/atom
formation energy from raw total energies = 2.45 eV/f.u.
space-group type = P4/mmm, No. 123

Cell and atoms, written as extended XYZ:
```
5
Lattice="-3.517 1.557 -0.186 -1.554 -3.402 0.914 0.264 1.168 4.795" Properties=species:S:1:pos:R:3 pbc="T T T"
N -0.777 -1.701 0.457
N -1.759 0.778 -0.093
S 0.132 0.584 2.398
Te -2.404 -0.339 2.762
V 0.000 0.000 0.000
```

[15]
Density functional theory data (PBE) for a relaxed VTeSN2 crystal.

Output
V = 17.1 Å³/atom
formation energy from raw total energies = 8.53 eV/f.u.
space-group type = P4/mmm, No. 123

Cell and atoms, written as extended XYZ:
```
5
Lattice="-2.907 1.149 1.778 1.757 -0.376 3.115 2.168 6.215 -0.473" Properties=species:S:1:pos:R:3 pbc="T T T"
N 0.878 -0.188 1.557
N -1.453 0.575 0.889
S 0.000 0.000 0.000
Te 1.084 3.107 -0.236
V 0.509 3.494 2.210
```

[16]
Density functional theory data (PBE) for a relaxed VTeSN2 crystal.

Output
V = 16.6 Å³/atom
formation energy from raw total energies = 2.30 eV/f.u.
space-group type = P4/mmm, No. 123

Cell and atoms, written as extended XYZ:
```
5
Lattice="-2.556 2.006 1.891 0.038 -2.553 2.760 4.305 2.960 2.678" Properties=species:S:1:pos:R:3 pbc="T T T"
N 0.019 -1.276 1.380
N -1.278 1.003 0.946
S 0.893 1.206 3.665
Te 2.152 1.480 1.339
V 0.000 0.000 0.000
```

[17]
Density functional theory data (PBE) for a relaxed VTeSN2 crystal.

Output
V = 16.3 Å³/atom
formation energy from raw total energies = 7.67 eV/f.u.
space-group type = P4/mmm, No. 123

Cell and atoms, written as extended XYZ:
```
5
Lattice="3.926 0.000 0.000 0.000 3.926 0.000 0.000 0.000 5.277" Properties=species:S:1:pos:R:3 pbc="T T T"
N 0.000 1.963 0.000
N 1.963 0.000 0.000
S 0.000 0.000 2.639
Te 0.000 0.000 0.000
V 1.963 1.963 2.639
```

[18]
Density functional theory data (PBE) for a relaxed Te2WSN crystal.

Output
V = 22.0 Å³/atom
formation energy from raw total energies = 2.44 eV/f.u.
space-group type = P4/mmm, No. 123

Cell and atoms, written as extended XYZ:
```
5
Lattice="-1.118 -5.030 -1.498 4.081 -1.796 2.985 -2.344 -0.368 2.984" Properties=species:S:1:pos:R:3 pbc="T T T"
S 0.309 -3.597 2.235
Te 2.041 -0.898 1.492
Te -0.559 -2.515 -0.749
W 0.000 0.000 0.000
N -1.172 -0.184 1.492
```

[19]
Density functional theory data (PBE) for a relaxed Te2WSN crystal.

Output
V = 18.6 Å³/atom
formation energy from raw total energies = 6.70 eV/f.u.
space-group type = P4/mmm, No. 123

Cell and atoms, written as extended XYZ:
```
5
Lattice="5.315 0.000 0.000 0.000 5.315 0.000 0.000 0.000 3.299" Properties=species:S:1:pos:R:3 pbc="T T T"
S 0.000 0.000 0.000
Te 0.000 2.658 0.000
Te 2.658 0.000 0.000
W 2.658 2.658 1.649
N 0.000 0.000 1.649
```

[20]
Density functional theory data (PBE) for a relaxed YTeS2N crystal.

Output
V = 21.0 Å³/atom
formation energy from raw total energies = 0.21 eV/f.u.
space-group type = P4/mmm, No. 123

Cell and atoms, written as extended XYZ:
```
5
Lattice="5.117 0.000 0.000 0.000 5.117 0.000 0.000 0.000 4.003" Properties=species:S:1:pos:R:3 pbc="T T T"
Y 2.558 2.558 2.001
S 0.000 2.558 0.000
S 2.558 0.000 0.000
Te 0.000 0.000 0.000
N 0.000 0.000 2.001
```

[21]
Density functional theory data (PBE) for a relaxed YTeS2N crystal.

Output
V = 23.4 Å³/atom
formation energy from raw total energies = 1.61 eV/f.u.
space-group type = P4/mmm, No. 123

Cell and atoms, written as extended XYZ:
```
5
Lattice="5.335 0.000 0.000 0.000 5.335 0.000 0.000 0.000 4.113" Properties=species:S:1:pos:R:3 pbc="T T T"
Y 0.000 0.000 0.000
S 0.000 2.667 0.000
S 2.667 0.000 0.000
Te 2.667 2.667 2.057
N 0.000 0.000 2.057
```

[22]
Density functional theory data (PBE) for a relaxed Y8Te4S3N crystal.

Output
V = 24.3 Å³/atom
formation energy from raw total energies = -25.54 eV/f.u.
space-group type = R-3m, No. 166

Cell and atoms, written as extended XYZ:
```
16
Lattice="8.041 0.000 0.000 0.000 8.350 0.211 -4.020 -4.016 5.689" Properties=species:S:1:pos:R:3 pbc="T T T"
Y -2.166 1.877 5.697
Y 0.000 4.041 2.633
Y 0.000 0.343 3.083
Y 2.166 1.877 5.697
Y 1.854 2.457 0.203
Y 4.020 3.992 2.817
Y 4.020 0.294 3.267
Y 6.186 2.457 0.203
Te 4.020 0.000 0.000
Te 2.010 -2.008 2.845
Te 0.000 0.000 0.000
Te -2.010 -2.008 2.845
S 4.020 4.175 0.105
S 2.010 2.167 2.950
S -2.010 2.167 2.950
N 0.000 4.175 0.105
```

[23]
Density functional theory data (PBE) for a relaxed ZnTeS2N crystal.

Output
V = 18.5 Å³/atom
formation energy from raw total energies = 4.36 eV/f.u.
space-group type = P4/mmm, No. 123

Cell and atoms, written as extended XYZ:
```
5
Lattice="-4.654 -0.075 -1.607 1.282 -3.146 -3.565 -0.751 -2.926 2.313" Properties=species:S:1:pos:R:3 pbc="T T T"
Zn 0.000 0.000 0.000
Te -2.062 -3.074 -1.430
S 0.641 -1.573 -1.783
S -2.327 -0.038 -0.804
N -0.376 -1.463 1.156
```

[24]
Density functional theory data (PBE) for a relaxed ZnTe2SN crystal.

Output
V = 22.0 Å³/atom
formation energy from raw total energies = 5.03 eV/f.u.
space-group type = P4/mmm, No. 123

Cell and atoms, written as extended XYZ:
```
5
Lattice="5.489 0.000 0.000 0.000 5.489 0.000 0.000 0.000 3.644" Properties=species:S:1:pos:R:3 pbc="T T T"
Zn 0.000 0.000 0.000
Te 0.000 2.745 0.000
Te 2.745 0.000 0.000
S 2.745 2.745 1.822
N 0.000 0.000 1.822
```

[25]
Density functional theory data (PBE) for a relaxed ZnTeS2N crystal.

Output
V = 20.4 Å³/atom
formation energy from raw total energies = 4.74 eV/f.u.
space-group type = P4/mmm, No. 123

Cell and atoms, written as extended XYZ:
```
5
Lattice="5.108 0.000 0.000 0.000 5.108 0.000 0.000 0.000 3.900" Properties=species:S:1:pos:R:3 pbc="T T T"
Zn 2.554 2.554 1.950
Te 0.000 0.000 0.000
S 0.000 2.554 0.000
S 2.554 0.000 0.000
N 0.000 0.000 1.950
```

[26]
Density functional theory data (PBE) for a relaxed ZnTeS2N crystal.

Output
V = 17.1 Å³/atom
formation energy from raw total energies = 3.80 eV/f.u.
space-group type = P4/mmm, No. 123

Cell and atoms, written as extended XYZ:
```
5
Lattice="4.687 0.000 0.000 0.000 3.886 0.000 0.000 0.000 4.687" Properties=species:S:1:pos:R:3 pbc="T T T"
Zn 0.000 1.943 0.000
Te 2.344 1.943 2.344
S 0.000 0.000 2.344
S 2.344 0.000 0.000
N 0.000 0.000 0.000
```

[27]
Density functional theory data (PBE) for a relaxed ZnTe2SN crystal.

Output
V = 21.1 Å³/atom
formation energy from raw total energies = 4.08 eV/f.u.
space-group type = P4/mmm, No. 123

Cell and atoms, written as extended XYZ:
```
5
Lattice="5.598 0.000 0.000 0.000 3.365 0.000 0.000 0.000 5.598" Properties=species:S:1:pos:R:3 pbc="T T T"
Zn 2.799 1.683 2.799
Te 0.000 0.000 2.799
Te 2.799 0.000 0.000
S 0.000 0.000 0.000
N 0.000 1.683 0.000
```

[28]
Density functional theory data (PBE) for a relaxed ZrTeSN2 crystal.

Output
V = 16.2 Å³/atom
formation energy from raw total energies = 4.45 eV/f.u.
space-group type = P4/mmm, No. 123

Cell and atoms, written as extended XYZ:
```
5
Lattice="-1.628 2.170 3.017 -3.701 -0.642 -1.534 -0.416 -4.091 2.717" Properties=species:S:1:pos:R:3 pbc="T T T"
S -0.208 -2.045 1.359
Te 0.000 0.000 0.000
Zr -2.873 -1.282 2.100
N -1.850 -0.321 -0.767
N -0.814 1.085 1.509
```